# NbSb2TeN

An optimized crystal structure of NbSb2TeN (PBE, Alexandria via LeMat-Bulk).

Calculated values
- energy relative to the lowest polymorph listed for this composition (meV per atom) = 519
- raw formation energy (eV/atom) = 1.217

Cell: 5.387 5.387 5.388 Å, 90.00 90.00 90.00°
Element x y z (fractional)
Nb 0.000 0.000 0.000
Sb 0.000 0.500 0.000
Sb 0.500 0.000 0.000
Te 0.000 0.000 0.500
N 0.500 0.500 0.500